A relaxed Na2TlB2Pt5 crystal, computed with PBE.

Structure (POSCAR):
```
Na2TlB2Pt5
1.0
2.878 0.000 0.000
0.000 10.474 0.000
0.000 0.000 10.474
B Pt Na Tl
4 10 4 2
direct
0.000 0.620 0.880
0.000 0.120 0.620
0.000 0.880 0.380
0.000 0.380 0.120
0.500 0.500 0.000
0.500 0.939 0.236
0.500 0.736 0.439
0.500 0.236 0.061
0.500 0.000 0.500
0.500 0.439 0.264
0.500 0.264 0.561
0.500 0.061 0.764
0.500 0.764 0.939
0.500 0.561 0.736
0.000 0.816 0.684
0.000 0.316 0.816
0.000 0.184 0.316
0.000 0.684 0.184
0.000 0.500 0.500
0.000 0.000 0.000
```

Properties
The value obtained for the density is 13.1 g/cm³. The calculated volume comes out at 15.79 A^3/atom. The calculation puts the formation energy at -275 meV/atom.